CrAgMo2: optimized geometry, PBE.

```
CrAgMo2
1.0
4.624 -1.306 0.000
4.624 1.306 0.000
-0.518 0.000 5.070
Cr Ag Mo
1 1 2
direct
0.000 0.000 0.000
0.746 0.746 0.244
0.250 0.250 0.756
0.495 0.495 0.500
```

## Properties
**Final energy**: -7.99 eV/atom
**Distance to the lowest polymorph of the same formula**: 0.247 eV per atom
**Energy of formation**: 543 meV per atom
**Calculated density**: 9.54 g/cm³